(1)
Density functional theory data (PBE) for an optimized crystal structure of Tl8InPb2.

Computed properties:
The value obtained for the density is 10.261 Mg/m³. Its relative energy among the computed polymorphs is 50 meV/atom. The total magnetization is 0.00 μB/cell. The symmetry is C2/m. The volume is 350.3 Å³/cell.

The structure in extended XYZ format:
```
11
Lattice="6.6914 -3.2769 0.0000 6.6914 3.2769 0.0000 -2.3209 0.0000 7.9869" Properties=species:S:1:pos:R:3 pbc="T T T"
Tl 3.6207 1.6487 6.5558
Tl 1.8877 0.0000 4.2347
Tl 7.4413 1.6487 1.4312
Tl 4.5408 0.0000 2.3173
Tl 6.5211 0.0000 5.6696
Tl 3.6207 -1.6487 6.5558
Tl 9.1743 0.0000 3.7522
Tl 7.4413 -1.6487 1.4312
In -1.1605 0.0000 3.9935
Pb 0.4965 0.0000 7.2602
Pb 10.5654 0.0000 0.7267
```

***

(2)
Density functional theory data (PBE) for an optimized crystal structure of NdBr3N.

Computed properties:
The value obtained for the density is 3.122 Mg/m³. The total magnetization is 5.89 μB/cell. The symmetry is P-1. The volume is 423.3 Å³/cell. The calculation puts the formation energy without anion corrections at -2.3 eV per formula unit.

The structure in extended XYZ format:
```
10
Lattice="7.6111 0.0000 0.0000 3.7994 6.6288 0.0000 1.3913 -0.1056 8.3901" Properties=species:S:1:pos:R:3 pbc="T T T"
Nd 3.2959 1.0228 8.3896
Nd 9.5058 5.5004 0.0005
Br 4.2682 5.8290 1.6606
Br 4.2001 3.2106 6.6995
Br 4.2736 0.7999 1.6637
Br 8.5281 5.7234 6.7264
Br 8.6016 3.3127 1.6905
Br 8.5335 0.6942 6.7295
N 6.3873 5.1785 4.1697
N 6.4144 1.3447 4.2204
```

***

(3)
Density functional theory data (PBE) for an optimized crystal structure of Ac5Al2Se12.

Computed properties:
The value obtained for the density is 5.933 Mg/m³. The total magnetization is 2.25 μB/cell. The symmetry is C2/m. The volume is 598.0 Å³/cell. The calculation puts the formation energy without anion corrections at -27.5 eV per formula unit.

The structure in extended XYZ format:
```
19
Lattice="8.4855 -3.7714 0.0000 8.4855 3.7714 0.0000 -2.7800 0.0000 9.3429" Properties=species:S:1:pos:R:3 pbc="T T T"
Ac 0.0000 0.0000 0.0000
Ac 4.7646 0.0000 1.3929
Ac 3.4757 0.0000 6.1860
Ac 10.7153 0.0000 3.1568
Ac 9.4264 0.0000 7.9499
Al 7.0955 1.7862 4.6714
Al 7.0955 -1.7862 4.6714
Se -1.8217 0.0000 6.3086
Se 4.6441 1.9373 3.9394
Se 3.3495 1.8973 8.6500
Se 10.8414 1.8973 0.6929
Se 9.5469 1.9373 5.4035
Se 7.5798 0.0000 2.9051
Se 6.6112 0.0000 6.4378
Se 4.6441 -1.9373 3.9394
Se 3.3495 -1.8973 8.6500
Se 10.8414 -1.8973 0.6929
Se 9.5469 -1.9373 5.4035
Se 16.0127 0.0000 3.0342
```

***

(4)
Density functional theory data (PBE) for an optimized crystal structure of NdEuHgBi.

Computed properties:
The value obtained for the density is 9.631 Mg/m³. The calculation puts the final energy at -5.414 eV/atom. The total magnetization is 7.82 μB/cell. The symmetry is F-43m. The volume is 121.7 Å³/cell.

The structure in extended XYZ format:
```
4
Lattice="0.0000 3.9331 3.9331 3.9331 0.0000 3.9331 3.9331 3.9331 0.0000" Properties=species:S:1:pos:R:3 pbc="T T T"
Nd 0.0000 0.0000 0.0000
Eu 3.9331 3.9331 3.9331
Hg 5.8997 5.8997 5.8997
Bi 1.9666 1.9666 1.9666
```

***

(5)
Density functional theory data (PBE) for an optimized crystal structure of Cs2CoSnBr6.

Computed properties:
The value obtained for the density is 4.502 Mg/m³. The total magnetization is 2.64 μB/cell. The symmetry is I4/mmm. The volume is 340.4 Å³/cell. The calculation puts the formation energy without anion corrections at -10.2 eV per formula unit.

The structure in extended XYZ format:
```
10
Lattice="-3.9225 3.9225 5.5306 3.9225 -3.9225 5.5306 3.9225 3.9225 -5.5306" Properties=species:S:1:pos:R:3 pbc="T T T"
Cs 3.9225 0.0000 2.7653
Cs 0.0000 3.9225 2.7653
Co 0.0000 0.0000 0.0000
Sn 0.0000 0.0000 5.5306
Br 0.0000 0.0000 2.5997
Br 1.8477 1.8477 0.0000
Br 2.0748 -2.0748 5.5306
Br -2.0748 2.0748 5.5306
Br 2.0748 2.0748 5.5306
Br 0.0000 0.0000 8.4616
```

***

(6)
Density functional theory data (PBE) for an optimized crystal structure of HoAl3AgAu.

Computed properties:
The value obtained for the density is 7.790 Mg/m³. The calculation puts the final energy at -3.882 eV/atom. The total magnetization is 0.00 μB/cell. The symmetry is Cmcm. The volume is 234.8 Å³/cell.

The structure in extended XYZ format:
```
12
Lattice="3.0343 -6.6015 0.0000 3.0343 6.6015 0.0000 0.0000 0.0000 5.8609" Properties=species:S:1:pos:R:3 pbc="T T T"
Ho 3.0343 4.0572 4.3957
Ho 3.0343 -4.0572 1.4652
Al 1.2788 0.0000 0.0000
Al 1.2788 0.0000 2.9305
Al 3.0343 1.8026 1.4652
Al 3.0343 -1.8026 4.3957
Al 4.7897 0.0000 0.0000
Al 4.7897 0.0000 2.9305
Ag 3.0343 1.2667 4.3957
Ag 3.0343 -1.2667 1.4652
Au 3.0343 4.4675 1.4652
Au 3.0343 -4.4675 4.3957
```

***

(7)
Density functional theory data (PBE) for an optimized crystal structure of BeP2Se.

Computed properties:
The value obtained for the density is 2.580 Mg/m³. Its relative energy among the computed polymorphs is 486 meV/atom. The total magnetization is 0.00 μB/cell. The symmetry is Cm. The volume is 96.5 Å³/cell. The calculation puts the formation energy without anion corrections at 0.9 eV per formula unit.

The structure in extended XYZ format:
```
4
Lattice="5.6930 -1.6464 0.0000 5.6930 1.6464 0.0000 -3.2163 0.0000 5.1481" Properties=species:S:1:pos:R:3 pbc="T T T"
Be 0.0000 0.0000 0.0000
P 1.0086 0.0000 4.8857
P 5.3599 0.0000 1.5823
Se 7.2832 0.0000 0.1302
```

***

(8)
Density functional theory data (PBE) for an optimized crystal structure of TbErTh2Sc5.

Computed properties:
The value obtained for the density is 6.565 Mg/m³. The calculation puts the final energy at -5.839 eV/atom. The total magnetization is 0.01 μB/cell. The symmetry is I4/mcm. The volume is 513.5 Å³/cell.

The structure in extended XYZ format:
```
18
Lattice="-4.2284 4.2284 7.1798 4.2284 -4.2284 7.1798 4.2284 4.2284 -7.1798" Properties=species:S:1:pos:R:3 pbc="T T T"
Tb 0.0000 0.0000 3.5899
Tb 0.0000 0.0000 10.7696
Er 4.2284 0.0000 3.5899
Er 0.0000 4.2284 3.5899
Th 5.2733 1.0449 0.0000
Th 1.0449 3.1835 0.0000
Th 3.1835 1.0449 7.1798
Th -1.0449 3.1835 7.1798
Sc 0.0000 0.0000 0.0000
Sc 2.4597 1.7687 -2.0027
Sc 2.4597 -1.7687 5.1771
Sc 2.4597 1.7687 2.0027
Sc 2.4597 -1.7687 9.1824
Sc 0.0000 0.0000 7.1798
Sc 1.7687 5.9971 -2.0027
Sc 1.7687 2.4597 5.1771
Sc 1.7687 5.9971 2.0027
Sc 1.7687 2.4597 9.1824
```